This record from OQMD describes crystalline Y2Ho2CI4Cl at its relaxed geometry. The functional is GGA-PBE.

Cell: 19.258 3.900 8.193 Å, 90.00 101.80 90.00°
Space group C2/m (No. 12)
Symmetry-distinct sites (fractional):
Y: 0.001 0.000 0.297 [4 per cell]
Ho: 0.126 0.500 0.563 [4 per cell]
C: 0.000 0.500 0.500 [2 per cell]
I: 0.162 0.000 0.850 [4 per cell]
I: 0.166 0.000 0.314 [4 per cell]
Cl: 0.000 0.500 0.000 [2 per cell]

polymorph energy (0 for the lowest one)	0	meV/atom
ρ	5859	kg/m³
total DFT energy (no corrections)	-5.12	eV/atom